USnPd | PBE | optimized geometry

Lattice parameters (Å, degrees): 3.212 3.212 12.225 90.00 90.00 90.00
Space group I4mm (No. 107)
Inequivalent atoms, fractional coordinates:
1 U 0.000 0.000 0.000 [2 per cell]
2 Sn 0.000 0.000 0.306 [2 per cell]
3 Pd 0.000 0.000 0.667 [2 per cell]

Calculated volume ... 21.02 A^3/atom
DOS at the Fermi energy ... 1.63 states/eV/atom
Raw total energy ... -7.019 eV per atom
Magnetic moment ... 2.57 μB per formula unit